#A
## Na3CaAg (PBE)

Data for a relaxed Na3CaAg crystal.

Structure (CIF):
```
data_Na3CaAg
_cell_length_a 6.4357
_cell_length_b 6.4357
_cell_length_c 6.4357
_cell_angle_alpha 90.00
_cell_angle_beta 90.00
_cell_angle_gamma 90.00
_space_group_name_H-M_alt 'P m -3 m'
_space_group_IT_number 221
_space_group_name_Hall '-P 4 2 3'
loop_
_atom_site_label
_atom_site_type_symbol
_atom_site_fract_x
_atom_site_fract_y
_atom_site_fract_z
Na1 Na 0.0000 0.0000 0.5000
Ca1 Ca 0.0000 0.0000 0.0000
Ag1 Ag 0.5000 0.5000 0.5000
```


#B
## Na3CaAg (PBE)

Data for a relaxed Na3CaAg crystal.

Structure (CIF):
```
data_Na3CaAg
_cell_length_a 5.6692
_cell_length_b 5.6692
_cell_length_c 5.6692
_cell_angle_alpha 90.00
_cell_angle_beta 90.00
_cell_angle_gamma 90.00
_space_group_name_H-M_alt 'P m -3 m'
_space_group_IT_number 221
_space_group_name_Hall '-P 4 2 3'
loop_
_atom_site_label
_atom_site_type_symbol
_atom_site_fract_x
_atom_site_fract_y
_atom_site_fract_z
Na1 Na 0.0000 0.0000 0.5000
Ca1 Ca 0.5000 0.5000 0.5000
Ag1 Ag 0.0000 0.0000 0.0000
```


The computed energies, referenced to the most stable structure and given in eV/atom, are #A 0.617; #B 0.000.


#A
## NaCa3Ag (PBE)

Data for a relaxed NaCa3Ag crystal.

Structure (CIF):
```
data_NaCa3Ag
_cell_length_a 5.9297
_cell_length_b 5.9297
_cell_length_c 5.9297
_cell_angle_alpha 90.00
_cell_angle_beta 90.00
_cell_angle_gamma 90.00
_space_group_name_H-M_alt 'P m -3 m'
_space_group_IT_number 221
_space_group_name_Hall '-P 4 2 3'
loop_
_atom_site_label
_atom_site_type_symbol
_atom_site_fract_x
_atom_site_fract_y
_atom_site_fract_z
Na1 Na 0.0000 0.0000 0.0000
Ca1 Ca 0.0000 0.0000 0.5000
Ag1 Ag 0.5000 0.5000 0.5000
```


#B
## NaCa3Ag (PBE)

Data for a relaxed NaCa3Ag crystal.

Structure (CIF):
```
data_NaCa3Ag
_cell_length_a 5.8597
_cell_length_b 5.8597
_cell_length_c 5.8597
_cell_angle_alpha 90.00
_cell_angle_beta 90.00
_cell_angle_gamma 90.00
_space_group_name_H-M_alt 'P m -3 m'
_space_group_IT_number 221
_space_group_name_Hall '-P 4 2 3'
loop_
_atom_site_label
_atom_site_type_symbol
_atom_site_fract_x
_atom_site_fract_y
_atom_site_fract_z
Na1 Na 0.0000 0.0000 0.0000
Ca1 Ca 0.0000 0.5000 0.5000
Ag1 Ag 0.5000 0.5000 0.5000
```


The computed energies, referenced to the most stable structure and given in eV/atom, are #A 0.601; #B 0.000.


#A
## NaCa2Ag2 (PBE)

Data for a relaxed NaCa2Ag2 crystal.

Structure (CIF):
```
data_NaCa2Ag2
_cell_length_a 8.8524
_cell_length_b 8.8524
_cell_length_c 3.5890
_cell_angle_alpha 90.00
_cell_angle_beta 90.00
_cell_angle_gamma 90.00
_space_group_name_H-M_alt 'P 4/m b m'
_space_group_IT_number 127
_space_group_name_Hall '-P 4 2ab'
loop_
_atom_site_label
_atom_site_type_symbol
_atom_site_fract_x
_atom_site_fract_y
_atom_site_fract_z
Na1 Na 0.0000 0.0000 0.0000
Ca1 Ca 0.1474 0.3526 0.0000
Ag1 Ag 0.1438 0.6438 0.5000
```


#B
## NaCa2Ag2 (PBE)

Data for a relaxed NaCa2Ag2 crystal.

Structure (CIF):
```
data_NaCa2Ag2
_cell_length_a 3.9177
_cell_length_b 3.9177
_cell_length_c 20.4593
_cell_angle_alpha 90.00
_cell_angle_beta 90.00
_cell_angle_gamma 90.00
_space_group_name_H-M_alt 'I 4/m m m'
_space_group_IT_number 139
_space_group_name_Hall '-I 4 2'
loop_
_atom_site_label
_atom_site_type_symbol
_atom_site_fract_x
_atom_site_fract_y
_atom_site_fract_z
Na1 Na 0.0000 0.0000 0.0000
Ca1 Ca 0.0000 0.0000 0.3710
Ag1 Ag 0.0000 0.5000 0.2500
```


#C
## NaCa2Ag2 (PBE)

Data for a relaxed NaCa2Ag2 crystal.

Structure (CIF):
```
data_NaCa2Ag2
_cell_length_a 8.3072
_cell_length_b 8.3072
_cell_length_c 4.0549
_cell_angle_alpha 90.00
_cell_angle_beta 90.00
_cell_angle_gamma 90.00
_space_group_name_H-M_alt 'P 4/m b m'
_space_group_IT_number 127
_space_group_name_Hall '-P 4 2ab'
loop_
_atom_site_label
_atom_site_type_symbol
_atom_site_fract_x
_atom_site_fract_y
_atom_site_fract_z
Na1 Na 0.0000 0.0000 0.0000
Ca1 Ca 0.1670 0.3330 0.5000
Ag1 Ag 0.1246 0.6246 0.0000
```


The computed energies, referenced to the most stable structure and given in eV/atom, are #A 0.105; #B 0.215; #C 0.000.


#A
## NaSrCa2Ag (PBE)

Data for a relaxed NaSrCa2Ag crystal.

Structure (CIF):
```
data_NaSrCa2Ag
_cell_length_a 5.8833
_cell_length_b 5.8833
_cell_length_c 5.8496
_cell_angle_alpha 90.00
_cell_angle_beta 90.00
_cell_angle_gamma 90.00
_space_group_name_H-M_alt 'P 4/m m m'
_space_group_IT_number 123
_space_group_name_Hall '-P 4 2'
loop_
_atom_site_label
_atom_site_type_symbol
_atom_site_fract_x
_atom_site_fract_y
_atom_site_fract_z
Na1 Na 0.0000 0.0000 0.0000
Sr1 Sr 0.5000 0.5000 0.0000
Ca1 Ca 0.0000 0.5000 0.5000
Ag1 Ag 0.0000 0.0000 0.5000
```


#B
## NaSrCa2Ag (PBE)

Data for a relaxed NaSrCa2Ag crystal.

Structure (CIF):
```
data_NaSrCa2Ag
_cell_length_a 5.8973
_cell_length_b 5.8973
_cell_length_c 6.1611
_cell_angle_alpha 90.00
_cell_angle_beta 90.00
_cell_angle_gamma 90.00
_space_group_name_H-M_alt 'P 4/m m m'
_space_group_IT_number 123
_space_group_name_Hall '-P 4 2'
loop_
_atom_site_label
_atom_site_type_symbol
_atom_site_fract_x
_atom_site_fract_y
_atom_site_fract_z
Na1 Na 0.0000 0.0000 0.0000
Sr1 Sr 0.5000 0.5000 0.0000
Ca1 Ca 0.0000 0.5000 0.5000
Ag1 Ag 0.5000 0.5000 0.5000
```


The computed energies, referenced to the most stable structure and given in eV/atom, are #A 0.053; #B 0.000.


#A
## CaNbAg (PBE)

Data for a relaxed CaNbAg crystal.

Structure (CIF):
```
data_CaNbAg
_cell_length_a 6.2999
_cell_length_b 8.5589
_cell_length_c 5.1367
_cell_angle_alpha 90.00
_cell_angle_beta 90.00
_cell_angle_gamma 90.00
_space_group_name_H-M_alt 'I m a 2'
_space_group_IT_number 46
loop_
_space_group_symop_operation_xyz
'x,y,z'
'-x,-y,z'
'-x+1/2,y,z'
'x+1/2,-y,z'
'x+1/2,y+1/2,z+1/2'
'-x+1/2,-y+1/2,z+1/2'
'-x,y+1/2,z+1/2'
'x,-y+1/2,z+1/2'
loop_
_atom_site_label
_atom_site_type_symbol
_atom_site_fract_x
_atom_site_fract_y
_atom_site_fract_z
Ca1 Ca 0.2500 0.1170 0.0000
Nb1 Nb 0.2500 0.7390 0.2418
Ag1 Ag 0.0000 0.0000 0.4902
```


#B
## CaNbAg (PBE)

Data for a relaxed CaNbAg crystal.

Structure (CIF):
```
data_CaNbAg
_cell_length_a 8.1695
_cell_length_b 3.1272
_cell_length_c 10.4772
_cell_angle_alpha 90.00
_cell_angle_beta 90.00
_cell_angle_gamma 90.00
_space_group_name_H-M_alt 'P n m a'
_space_group_IT_number 62
loop_
_space_group_symop_operation_xyz
'x,y,z'
'-x,-y,-z'
'-x+1/2,-y,z+1/2'
'x+1/2,y,-z+1/2'
'x+1/2,-y+1/2,-z+1/2'
'-x+1/2,y+1/2,z+1/2'
'-x,y+1/2,-z'
'x,-y+1/2,z'
loop_
_atom_site_label
_atom_site_type_symbol
_atom_site_fract_x
_atom_site_fract_y
_atom_site_fract_z
Ca1 Ca 0.1669 0.2500 0.0998
Nb1 Nb 0.0586 0.2500 0.4038
Ag1 Ag 0.1444 0.2500 0.8039
```


The computed energies, referenced to the most stable structure and given in eV/atom, are #A 0.000; #B 0.034.